{"formula": "TiHN3", "functional": "PBE-GGA", "state": "relaxed", "total_energy_ev_per_atom": -6.066, "spacegroup": "No. 221", "crystal_system": "cubic", "dos_at_fermi_per_ev_cell": 2.4, "lattice": [[3.257, 0.000, 0.000], [0.000, 3.257, 0.000], [0.000, 0.000, 3.257]], "species": ["Ti", "H", "N", "N", "N"], "fractional_positions": [[0.000, 0.000, 0.000], [0.500, 0.500, 0.500], [0.000, 0.500, 0.500], [0.500, 0.000, 0.500], [0.500, 0.500, 0.000]]}

{"formula": "Ti3HN", "functional": "PBE-GGA", "state": "relaxed", "total_energy_ev_per_atom": -7.986, "spacegroup": "No. 25", "crystal_system": "orthorhombic", "dos_at_fermi_per_ev_cell": 3.9, "lattice": [[2.939, 0.000, 0.000], [0.000, 8.004, 0.000], [0.000, 0.000, 4.801]], "species": ["Ti", "Ti", "Ti", "Ti", "Ti", "Ti", "H", "H", "N", "N"], "fractional_positions": [[0.000, 0.000, 0.000], [0.000, 0.500, 0.405], [0.500, 0.166, 0.471], [0.500, 0.332, 0.956], [0.500, 0.668, 0.956], [0.500, 0.834, 0.471], [0.000, 0.000, 0.588], [0.500, 0.500, 0.665], [0.000, 0.249, 0.212], [0.000, 0.751, 0.212]]}

{"formula": "Ti8HN2", "functional": "PBE-GGA", "state": "relaxed", "total_energy_ev_per_atom": -8.301, "spacegroup": "No. 12", "crystal_system": "monoclinic", "dos_at_fermi_per_ev_cell": 8.2, "lattice": [[4.705, -3.574, 0.000], [4.705, 3.574, 0.000], [-0.012, 0.000, 4.351]], "species": ["Ti", "Ti", "Ti", "Ti", "Ti", "Ti", "Ti", "Ti", "H", "N", "N"], "fractional_positions": [[0.111, 0.111, 0.251], [0.172, 0.606, 0.247], [0.329, 0.329, 0.752], [0.394, 0.828, 0.753], [0.606, 0.172, 0.247], [0.671, 0.671, 0.248], [0.828, 0.394, 0.753], [0.889, 0.889, 0.749], [0.500, 0.500, 0.500], [0.114, 0.114, 0.750], [0.886, 0.886, 0.250]]}

{"formula": "Ti2HN", "functional": "PBE-GGA", "state": "relaxed", "total_energy_ev_per_atom": -7.656, "spacegroup": "No. 166", "crystal_system": "trigonal", "dos_at_fermi_per_ev_cell": 5.2, "lattice": [[3.034, 0.000, 0.000], [-1.517, 2.628, 0.000], [0.000, 0.000, 16.991]], "species": ["Ti", "Ti", "Ti", "Ti", "Ti", "Ti", "H", "H", "H", "N", "N", "N"], "fractional_positions": [[0.000, 0.000, 0.099], [0.000, 0.000, 0.901], [0.333, 0.667, 0.568], [0.333, 0.667, 0.766], [0.667, 0.333, 0.234], [0.667, 0.333, 0.432], [0.000, 0.000, 0.000], [0.333, 0.667, 0.667], [0.667, 0.333, 0.333], [0.000, 0.000, 0.500], [0.333, 0.667, 0.167], [0.667, 0.333, 0.833]]}

{"formula": "Ti4H5N", "functional": "PBE-GGA", "state": "relaxed", "total_energy_ev_per_atom": -6.374, "spacegroup": "No. 1", "crystal_system": "triclinic", "dos_at_fermi_per_ev_cell": 3.2, "lattice": [[2.972, 0.000, 0.000], [-0.018, 4.786, 0.000], [-1.457, -0.148, 5.741]], "species": ["Ti", "Ti", "Ti", "Ti", "H", "H", "H", "H", "H", "N"], "fractional_positions": [[0.000, 0.000, 0.000], [0.115, 0.502, 0.245], [0.388, 0.500, 0.782], [0.730, 0.995, 0.466], [0.245, 0.256, 0.495], [0.250, 0.744, 0.508], [0.537, 0.265, 0.076], [0.867, 0.754, 0.740], [0.869, 0.241, 0.745], [0.559, 0.754, 0.125]]}

{"formula": "Ti5HN", "functional": "PBE-GGA", "state": "relaxed", "total_energy_ev_per_atom": -7.717, "spacegroup": "No. 15", "crystal_system": "monoclinic", "dos_at_fermi_per_ev_cell": 12.0, "lattice": [[4.315, -3.185, 0.000], [4.315, 3.185, 0.000], [-2.074, 0.000, 6.712]], "species": ["Ti", "Ti", "Ti", "Ti", "Ti", "Ti", "Ti", "Ti", "Ti", "Ti", "H", "H", "N", "N"], "fractional_positions": [[0.073, 0.927, 0.750], [0.153, 0.357, 0.660], [0.261, 0.629, 0.040], [0.357, 0.153, 0.160], [0.371, 0.739, 0.460], [0.629, 0.261, 0.540], [0.643, 0.847, 0.840], [0.739, 0.371, 0.960], [0.847, 0.643, 0.340], [0.927, 0.073, 0.250], [0.000, 0.000, 0.000], [0.000, 0.000, 0.500], [0.423, 0.577, 0.750], [0.577, 0.423, 0.250]]}

{"formula": "Ti8HN2", "functional": "PBE-GGA", "state": "relaxed", "total_energy_ev_per_atom": -8.272, "spacegroup": "No. 12", "crystal_system": "monoclinic", "dos_at_fermi_per_ev_cell": 10.9, "lattice": [[5.146, -2.959, 0.000], [5.146, 2.959, 0.000], [-1.882, 0.000, 4.793]], "species": ["Ti", "Ti", "Ti", "Ti", "Ti", "Ti", "Ti", "Ti", "H", "N", "N"], "fractional_positions": [[0.122, 0.627, 0.750], [0.126, 0.126, 0.747], [0.373, 0.373, 0.253], [0.373, 0.878, 0.250], [0.627, 0.122, 0.750], [0.627, 0.627, 0.747], [0.874, 0.874, 0.253], [0.878, 0.373, 0.250], [0.500, 0.500, 0.000], [0.251, 0.251, 0.502], [0.749, 0.749, 0.498]]}

{"formula": "Ti4HN2", "functional": "PBE-GGA", "state": "relaxed", "total_energy_ev_per_atom": -7.773, "spacegroup": "No. 139", "crystal_system": "tetragonal", "dos_at_fermi_per_ev_cell": 7.2, "lattice": [[3.432, 0.000, 0.000], [0.000, 3.432, 0.000], [0.000, 0.000, 12.035]], "species": ["Ti", "Ti", "Ti", "Ti", "Ti", "Ti", "Ti", "Ti", "H", "H", "N", "N", "N", "N"], "fractional_positions": [[0.000, 0.000, 0.182], [0.000, 0.000, 0.818], [0.000, 0.500, 0.000], [0.000, 0.500, 0.500], [0.500, 0.000, 0.000], [0.500, 0.000, 0.500], [0.500, 0.500, 0.318], [0.500, 0.500, 0.682], [0.000, 0.000, 0.000], [0.500, 0.500, 0.500], [0.000, 0.000, 0.364], [0.000, 0.000, 0.636], [0.500, 0.500, 0.136], [0.500, 0.500, 0.864]]}

{"formula": "Ti2H2N", "functional": "PBE-GGA", "state": "relaxed", "total_energy_ev_per_atom": -6.965, "spacegroup": "No. 57", "crystal_system": "orthorhombic", "dos_at_fermi_per_ev_cell": 7.6, "lattice": [[8.588, 0.000, 0.000], [0.000, 4.566, 0.000], [0.000, 0.000, 4.280]], "species": ["Ti", "Ti", "Ti", "Ti", "Ti", "Ti", "Ti", "Ti", "H", "H", "H", "H", "H", "H", "H", "H", "N", "N", "N", "N"], "fractional_positions": [[0.119, 0.014, 0.250], [0.119, 0.486, 0.750], [0.363, 0.003, 0.750], [0.363, 0.497, 0.250], [0.637, 0.503, 0.750], [0.637, 0.997, 0.250], [0.881, 0.514, 0.250], [0.881, 0.986, 0.750], [0.267, 0.750, 0.000], [0.267, 0.750, 0.500], [0.496, 0.250, 0.000], [0.496, 0.250, 0.500], [0.504, 0.750, 0.000], [0.504, 0.750, 0.500], [0.733, 0.250, 0.000], [0.733, 0.250, 0.500], [0.116, 0.045, 0.750], [0.116, 0.455, 0.250], [0.884, 0.545, 0.750], [0.884, 0.955, 0.250]]}

{"formula": "Ti2HN", "functional": "PBE-GGA", "state": "relaxed", "total_energy_ev_per_atom": -7.814, "spacegroup": "No. 160", "crystal_system": "trigonal", "dos_at_fermi_per_ev_cell": 3.8, "lattice": [[3.029, 0.000, 0.000], [-1.514, 2.623, 0.000], [0.000, 0.000, 14.944]], "species": ["Ti", "Ti", "Ti", "Ti", "Ti", "Ti", "H", "H", "H", "N", "N", "N"], "fractional_positions": [[0.000, 0.000, 0.000], [0.000, 0.000, 0.182], [0.333, 0.667, 0.667], [0.333, 0.667, 0.849], [0.667, 0.333, 0.333], [0.667, 0.333, 0.516], [0.000, 0.000, 0.765], [0.333, 0.667, 0.432], [0.667, 0.333, 0.099], [0.000, 0.000, 0.591], [0.333, 0.667, 0.257], [0.667, 0.333, 0.924]]}

{"formula": "Ti4HN2", "functional": "PBE-GGA", "state": "relaxed", "total_energy_ev_per_atom": -7.783, "spacegroup": "No. 87", "crystal_system": "tetragonal", "dos_at_fermi_per_ev_cell": 12.1, "lattice": [[6.423, 0.000, 0.000], [0.000, 6.423, 0.000], [0.000, 0.000, 5.232]], "species": ["Ti", "Ti", "Ti", "Ti", "Ti", "Ti", "Ti", "Ti", "H", "H", "N", "N", "N", "N"], "fractional_positions": [[0.099, 0.699, 0.000], [0.199, 0.401, 0.500], [0.301, 0.099, 0.000], [0.401, 0.801, 0.500], [0.599, 0.199, 0.500], [0.699, 0.901, 0.000], [0.801, 0.599, 0.500], [0.901, 0.301, 0.000], [0.000, 0.000, 0.000], [0.500, 0.500, 0.500], [0.000, 0.500, 0.250], [0.000, 0.500, 0.750], [0.500, 0.000, 0.250], [0.500, 0.000, 0.750]]}

{"formula": "Ti2HN", "functional": "PBE-GGA", "state": "relaxed", "total_energy_ev_per_atom": -7.643, "spacegroup": "No. 122", "crystal_system": "tetragonal", "dos_at_fermi_per_ev_cell": 0.0, "lattice": [[4.827, 0.000, 0.000], [0.000, 4.827, 0.000], [0.000, 0.000, 7.650]], "species": ["Ti", "Ti", "Ti", "Ti", "Ti", "Ti", "Ti", "Ti", "H", "H", "H", "H", "N", "N", "N", "N"], "fractional_positions": [[0.247, 0.250, 0.125], [0.250, 0.747, 0.375], [0.250, 0.753, 0.875], [0.253, 0.250, 0.625], [0.747, 0.750, 0.625], [0.750, 0.247, 0.875], [0.750, 0.253, 0.375], [0.753, 0.750, 0.125], [0.000, 0.000, 0.000], [0.000, 0.500, 0.250], [0.500, 0.000, 0.750], [0.500, 0.500, 0.500], [0.000, 0.000, 0.500], [0.000, 0.500, 0.750], [0.500, 0.000, 0.250], [0.500, 0.500, 0.000]]}

{"formula": "Ti4H5N", "functional": "PBE-GGA", "state": "relaxed", "total_energy_ev_per_atom": -6.307, "spacegroup": "No. 71", "crystal_system": "orthorhombic", "dos_at_fermi_per_ev_cell": 6.1, "lattice": [[-1.510, 2.763, 5.107], [1.510, -2.763, 5.107], [1.510, 2.763, -5.107]], "species": ["Ti", "Ti", "Ti", "Ti", "H", "H", "H", "H", "H", "N"], "fractional_positions": [[0.210, 0.210, 0.000], [0.257, 0.500, 0.757], [0.743, 0.500, 0.243], [0.790, 0.790, 0.000], [0.029, 0.315, 0.714], [0.399, 0.685, 0.714], [0.500, 0.000, 0.500], [0.601, 0.315, 0.286], [0.971, 0.685, 0.286], [0.000, 0.000, 0.000]]}

{"formula": "TiHN2", "functional": "PBE-GGA", "state": "relaxed", "total_energy_ev_per_atom": -7.387, "spacegroup": "No. 166", "crystal_system": "trigonal", "dos_at_fermi_per_ev_cell": 5.3, "lattice": [[3.073, 0.000, 0.000], [-1.536, 2.661, 0.000], [0.000, 0.000, 13.757]], "species": ["Ti", "Ti", "Ti", "H", "H", "H", "N", "N", "N", "N", "N", "N"], "fractional_positions": [[0.000, 0.000, 0.000], [0.333, 0.667, 0.667], [0.667, 0.333, 0.333], [0.000, 0.000, 0.500], [0.333, 0.667, 0.167], [0.667, 0.333, 0.833], [0.000, 0.000, 0.409], [0.000, 0.000, 0.591], [0.333, 0.667, 0.075], [0.333, 0.667, 0.258], [0.667, 0.333, 0.742], [0.667, 0.333, 0.925]]}

{"formula": "Ti3HN", "functional": "PBE-GGA", "state": "relaxed", "total_energy_ev_per_atom": -7.985, "spacegroup": "No. 148", "crystal_system": "trigonal", "dos_at_fermi_per_ev_cell": 5.6, "lattice": [[2.607, 1.505, 4.772], [-2.607, 1.505, 4.772], [0.000, -3.010, 4.772]], "species": ["Ti", "Ti", "Ti", "Ti", "Ti", "Ti", "H", "H", "N", "N"], "fractional_positions": [[0.067, 0.416, 0.764], [0.236, 0.933, 0.584], [0.416, 0.764, 0.067], [0.584, 0.236, 0.933], [0.764, 0.067, 0.416], [0.933, 0.584, 0.236], [0.338, 0.338, 0.338], [0.662, 0.662, 0.662], [0.165, 0.165, 0.165], [0.835, 0.835, 0.835]]}

{"formula": "TiHN2", "functional": "PBE-GGA", "state": "relaxed", "total_energy_ev_per_atom": -6.661, "spacegroup": "No. 122", "crystal_system": "tetragonal", "dos_at_fermi_per_ev_cell": 7.4, "lattice": [[3.980, 0.000, 0.000], [0.000, 3.980, 0.000], [0.000, 0.000, 9.701]], "species": ["Ti", "Ti", "Ti", "Ti", "H", "H", "H", "H", "N", "N", "N", "N", "N", "N", "N", "N"], "fractional_positions": [[0.000, 0.000, 0.000], [0.000, 0.500, 0.250], [0.500, 0.000, 0.750], [0.500, 0.500, 0.500], [0.000, 0.000, 0.500], [0.000, 0.500, 0.750], [0.500, 0.000, 0.250], [0.500, 0.500, 0.000], [0.220, 0.250, 0.625], [0.250, 0.720, 0.875], [0.250, 0.780, 0.375], [0.280, 0.250, 0.125], [0.720, 0.750, 0.125], [0.750, 0.220, 0.375], [0.750, 0.280, 0.875], [0.780, 0.750, 0.625]]}

{"formula": "Ti4HN2", "functional": "PBE-GGA", "state": "relaxed", "total_energy_ev_per_atom": -8.568, "spacegroup": "No. 43", "crystal_system": "orthorhombic", "dos_at_fermi_per_ev_cell": 4.0, "lattice": [[0.000, 4.967, 3.061], [4.962, 0.000, 3.061], [4.962, 4.967, 0.000]], "species": ["Ti", "Ti", "Ti", "Ti", "Ti", "Ti", "Ti", "Ti", "H", "H", "N", "N", "N", "N"], "fractional_positions": [[0.001, 0.499, 0.204], [0.010, 0.505, 0.789], [0.046, 0.954, 0.249], [0.461, 0.554, 0.240], [0.499, 0.001, 0.296], [0.505, 0.010, 0.696], [0.554, 0.461, 0.745], [0.954, 0.046, 0.751], [0.126, 0.126, 0.874], [0.376, 0.376, 0.124], [0.004, 0.503, 0.496], [0.254, 0.754, 0.747], [0.503, 0.004, 0.996], [0.754, 0.254, 0.246]]}

{"formula": "Ti4H3N", "functional": "PBE-GGA", "state": "relaxed", "total_energy_ev_per_atom": -6.980, "spacegroup": "No. 139", "crystal_system": "tetragonal", "dos_at_fermi_per_ev_cell": 13.9, "lattice": [[4.189, 0.000, 0.000], [0.000, 4.189, 0.000], [0.000, 0.000, 8.482]], "species": ["Ti", "Ti", "Ti", "Ti", "Ti", "Ti", "Ti", "Ti", "H", "H", "H", "H", "H", "H", "N", "N"], "fractional_positions": [[0.000, 0.000, 0.245], [0.000, 0.000, 0.755], [0.000, 0.500, 0.000], [0.000, 0.500, 0.500], [0.500, 0.000, 0.000], [0.500, 0.000, 0.500], [0.500, 0.500, 0.255], [0.500, 0.500, 0.745], [0.000, 0.000, 0.500], [0.000, 0.500, 0.250], [0.000, 0.500, 0.750], [0.500, 0.000, 0.250], [0.500, 0.000, 0.750], [0.500, 0.500, 0.000], [0.000, 0.000, 0.000], [0.500, 0.500, 0.500]]}

{"formula": "Ti4H2N", "functional": "PBE-GGA", "state": "relaxed", "total_energy_ev_per_atom": -7.212, "spacegroup": "No. 139", "crystal_system": "tetragonal", "dos_at_fermi_per_ev_cell": 10.5, "lattice": [[4.046, 0.000, 0.000], [0.000, 4.046, 0.000], [0.000, 0.000, 9.502]], "species": ["Ti", "Ti", "Ti", "Ti", "Ti", "Ti", "Ti", "Ti", "H", "H", "H", "H", "N", "N"], "fractional_positions": [[0.000, 0.000, 0.223], [0.000, 0.000, 0.777], [0.000, 0.500, 0.000], [0.000, 0.500, 0.500], [0.500, 0.000, 0.000], [0.500, 0.000, 0.500], [0.500, 0.500, 0.277], [0.500, 0.500, 0.723], [0.000, 0.000, 0.419], [0.000, 0.000, 0.581], [0.500, 0.500, 0.081], [0.500, 0.500, 0.919], [0.000, 0.000, 0.000], [0.500, 0.500, 0.500]]}

{"formula": "Ti4HN", "functional": "PBE-GGA", "state": "relaxed", "total_energy_ev_per_atom": -7.980, "spacegroup": "No. 14", "crystal_system": "monoclinic", "dos_at_fermi_per_ev_cell": 7.6, "lattice": [[5.782, 0.000, 0.000], [0.000, 4.925, 0.000], [-2.489, 0.000, 5.264]], "species": ["Ti", "Ti", "Ti", "Ti", "Ti", "Ti", "Ti", "Ti", "H", "H", "N", "N"], "fractional_positions": [[0.133, 0.206, 0.339], [0.133, 0.294, 0.839], [0.340, 0.713, 0.628], [0.340, 0.787, 0.128], [0.660, 0.213, 0.872], [0.660, 0.287, 0.372], [0.867, 0.706, 0.161], [0.867, 0.794, 0.661], [0.500, 0.000, 0.500], [0.500, 0.500, 0.000], [0.000, 0.000, 0.000], [0.000, 0.500, 0.500]]}